{"formula": "TlCoIO2", "functional": "PBE with a Hubbard U", "state": "relaxed", "lattice": [[4.1101, 0.0000, 0.0000], [0.0000, 4.1101, 0.0000], [0.0000, 0.0000, 6.9967]], "species": ["Tl", "Co", "I", "O", "O"], "fractional_positions": [[0.0000, 0.0000, 0.0000], [0.5000, 0.5000, 0.5000], [0.0000, 0.0000, 0.5000], [0.0000, 0.5000, 0.0000], [0.5000, 0.0000, 0.0000]], "crystal_system": "tetragonal", "spacegroup": "P4/mmm, No. 123", "final_energy_ev_per_atom": -3.456}